P:
# NiHgGeSe3, relaxed, DFT PBE
# Calculated volume = 515 Å³/cell
data_NiHgGeSe3
_symmetry_space_group_name_H-M 'C m c m'
_symmetry_Int_Tables_number 63
_symmetry_space_group_name_Hall '-C 2c 2'
_cell_length_a 3.714
_cell_length_b 12.083
_cell_length_c 11.469
_cell_angle_alpha 90.00
_cell_angle_beta 90.00
_cell_angle_gamma 90.00
loop_
_atom_site_label
_atom_site_type_symbol
_atom_site_fract_x
_atom_site_fract_y
_atom_site_fract_z
_atom_site_occupancy
Ni1 Ni 0.000 0.061 0.250 1
Hg1 Hg 0.000 0.500 0.000 1
Ge1 Ge 0.000 0.280 0.750 1
Se1 Se 0.000 0.164 0.075 1
Se2 Se 0.000 0.441 0.250 1


Q:
# NiHgGeSe3, relaxed, DFT PBE
# Calculated volume = 642 Å³/cell
data_NiHgGeSe3
_symmetry_space_group_name_H-M 'C m c m'
_symmetry_Int_Tables_number 63
_symmetry_space_group_name_Hall '-C 2c 2'
_cell_length_a 3.533
_cell_length_b 15.402
_cell_length_c 11.797
_cell_angle_alpha 90.00
_cell_angle_beta 90.00
_cell_angle_gamma 90.00
loop_
_atom_site_label
_atom_site_type_symbol
_atom_site_fract_x
_atom_site_fract_y
_atom_site_fract_z
_atom_site_occupancy
Ni1 Ni 0.000 0.000 0.000 1
Hg1 Hg 0.000 0.400 0.250 1
Ge1 Ge 0.000 0.291 0.750 1
Se1 Se 0.000 0.102 0.250 1
Se2 Se 0.000 0.403 0.032 1


Energetically preferred structure: Q | next structure: +63 meV per atom


P:
# HgGePO, relaxed, DFT PBE
# Calculated volume = 149 Å³/cell
data_HgGePO
_symmetry_space_group_name_H-M 'P 4/n m m'
_symmetry_Int_Tables_number 129
_cell_length_a 3.945
_cell_length_b 3.945
_cell_length_c 9.542
_cell_angle_alpha 90.00
_cell_angle_beta 90.00
_cell_angle_gamma 90.00
loop_
_symmetry_equiv_pos_as_xyz
'x,y,z'
'-x,-y,-z'
'-y+1/2,x,z'
'y+1/2,-x,-z'
'-x+1/2,-y+1/2,z'
'x+1/2,y+1/2,-z'
'y,-x+1/2,z'
'-y,x+1/2,-z'
'x+1/2,-y,-z'
'-x+1/2,y,z'
'-y,-x,-z'
'y,x,z'
'-x,y+1/2,-z'
'x,-y+1/2,z'
'y+1/2,x+1/2,-z'
'-y+1/2,-x+1/2,z'
loop_
_atom_site_label
_atom_site_type_symbol
_atom_site_fract_x
_atom_site_fract_y
_atom_site_fract_z
_atom_site_occupancy
Hg1 Hg 0.250 0.750 0.000 1
Ge1 Ge 0.250 0.250 0.403 1
P1 P 0.250 0.250 0.809 1
O1 O 0.250 0.750 0.500 1


Q:
# HgGePO, relaxed, DFT PBE
# Calculated volume = 155 Å³/cell
data_HgGePO
_symmetry_space_group_name_H-M 'P m c 21'
_symmetry_Int_Tables_number 26
_cell_length_a 3.663
_cell_length_b 6.601
_cell_length_c 6.421
_cell_angle_alpha 90.00
_cell_angle_beta 90.00
_cell_angle_gamma 90.00
loop_
_symmetry_equiv_pos_as_xyz
'x,y,z'
'-x,-y,z+1/2'
'-x,y,z'
'x,-y,z+1/2'
loop_
_atom_site_label
_atom_site_type_symbol
_atom_site_fract_x
_atom_site_fract_y
_atom_site_fract_z
_atom_site_occupancy
Hg1 Hg 0.000 0.178 0.000 1
Ge1 Ge 0.500 0.386 0.509 1
P1 P 0.000 0.193 0.392 1
O1 O 0.500 0.390 0.820 1


R:
# HgGePO, relaxed, DFT PBE
# Calculated volume = 169 Å³/cell
data_HgGePO
_symmetry_space_group_name_H-M 'P 4/n m m'
_symmetry_Int_Tables_number 129
_cell_length_a 4.461
_cell_length_b 4.461
_cell_length_c 8.473
_cell_angle_alpha 90.00
_cell_angle_beta 90.00
_cell_angle_gamma 90.00
loop_
_symmetry_equiv_pos_as_xyz
'x,y,z'
'-x,-y,-z'
'-y+1/2,x,z'
'y+1/2,-x,-z'
'-x+1/2,-y+1/2,z'
'x+1/2,y+1/2,-z'
'y,-x+1/2,z'
'-y,x+1/2,-z'
'x+1/2,-y,-z'
'-x+1/2,y,z'
'-y,-x,-z'
'y,x,z'
'-x,y+1/2,-z'
'x,-y+1/2,z'
'y+1/2,x+1/2,-z'
'-y+1/2,-x+1/2,z'
loop_
_atom_site_label
_atom_site_type_symbol
_atom_site_fract_x
_atom_site_fract_y
_atom_site_fract_z
_atom_site_occupancy
Hg1 Hg 0.250 0.250 0.045 1
Ge1 Ge 0.250 0.750 0.500 1
P1 P 0.250 0.250 0.635 1
O1 O 0.250 0.750 0.000 1


S:
# HgGePO, relaxed, DFT PBE
# Calculated volume = 152 Å³/cell
data_HgGePO
_symmetry_space_group_name_H-M 'P m c 21'
_symmetry_Int_Tables_number 26
_cell_length_a 3.950
_cell_length_b 6.310
_cell_length_c 6.105
_cell_angle_alpha 90.00
_cell_angle_beta 90.00
_cell_angle_gamma 90.00
loop_
_symmetry_equiv_pos_as_xyz
'x,y,z'
'-x,-y,z+1/2'
'-x,y,z'
'x,-y,z+1/2'
loop_
_atom_site_label
_atom_site_type_symbol
_atom_site_fract_x
_atom_site_fract_y
_atom_site_fract_z
_atom_site_occupancy
Hg1 Hg 0.000 0.181 0.000 1
Ge1 Ge 0.500 0.287 0.453 1
P1 P 0.500 0.352 0.838 1
O1 O 0.000 0.196 0.400 1


Energetically preferred structure: Q | next structure: +71 meV per atom


P:
# HgGeSeO, relaxed, DFT PBE
# Calculated volume = 199 Å³/cell
data_HgGeSeO
_symmetry_space_group_name_H-M 'P 4/n m m'
_symmetry_Int_Tables_number 129
_cell_length_a 5.259
_cell_length_b 5.259
_cell_length_c 7.203
_cell_angle_alpha 90.00
_cell_angle_beta 90.00
_cell_angle_gamma 90.00
loop_
_symmetry_equiv_pos_as_xyz
'x,y,z'
'-x,-y,-z'
'-y+1/2,x,z'
'y+1/2,-x,-z'
'-x+1/2,-y+1/2,z'
'x+1/2,y+1/2,-z'
'y,-x+1/2,z'
'-y,x+1/2,-z'
'x+1/2,-y,-z'
'-x+1/2,y,z'
'-y,-x,-z'
'y,x,z'
'-x,y+1/2,-z'
'x,-y+1/2,z'
'y+1/2,x+1/2,-z'
'-y+1/2,-x+1/2,z'
loop_
_atom_site_label
_atom_site_type_symbol
_atom_site_fract_x
_atom_site_fract_y
_atom_site_fract_z
_atom_site_occupancy
Hg1 Hg 0.250 0.250 0.140 1
Ge1 Ge 0.250 0.250 0.689 1
Se1 Se 0.250 0.750 0.000 1
O1 O 0.250 0.250 0.455 1


Q:
# HgGeSeO, relaxed, DFT PBE
# Calculated volume = 323 Å³/cell
data_HgGeSeO
_symmetry_space_group_name_H-M 'P c a 21'
_symmetry_Int_Tables_number 29
_cell_length_a 8.062
_cell_length_b 6.759
_cell_length_c 5.921
_cell_angle_alpha 90.00
_cell_angle_beta 90.00
_cell_angle_gamma 90.00
loop_
_symmetry_equiv_pos_as_xyz
'x,y,z'
'-x,-y,z+1/2'
'-x+1/2,y,z+1/2'
'x+1/2,-y,z'
loop_
_atom_site_label
_atom_site_type_symbol
_atom_site_fract_x
_atom_site_fract_y
_atom_site_fract_z
_atom_site_occupancy
Hg1 Hg 0.065 0.201 0.000 1
Ge1 Ge 0.135 0.576 0.000 1
Se1 Se 0.073 0.156 0.501 1
O1 O 0.249 0.656 0.749 1


Energetically preferred structure: Q | next structure: +347 meV per atom


P:
# HgGeSeO, relaxed, DFT PBE
# Calculated volume = 388 Å³/cell
data_HgGeSeO
_symmetry_space_group_name_H-M 'P 21 21 21'
_symmetry_Int_Tables_number 19
_cell_length_a 6.343
_cell_length_b 7.651
_cell_length_c 7.990
_cell_angle_alpha 90.00
_cell_angle_beta 90.00
_cell_angle_gamma 90.00
loop_
_symmetry_equiv_pos_as_xyz
'x,y,z'
'-x+1/2,-y,z+1/2'
'x+1/2,-y+1/2,-z'
'-x,y+1/2,-z+1/2'
loop_
_atom_site_label
_atom_site_type_symbol
_atom_site_fract_x
_atom_site_fract_y
_atom_site_fract_z
_atom_site_occupancy
Hg1 Hg 0.229 0.058 0.010 1
Ge1 Ge 0.191 0.612 0.808 1
Se1 Se 0.037 0.104 0.299 1
O1 O 0.059 0.690 0.630 1


Q:
# HgGeSeO, relaxed, DFT PBE
# Calculated volume = 163 Å³/cell
data_HgGeSeO
_symmetry_space_group_name_H-M 'P 4/n m m'
_symmetry_Int_Tables_number 129
_cell_length_a 4.209
_cell_length_b 4.209
_cell_length_c 9.225
_cell_angle_alpha 90.00
_cell_angle_beta 90.00
_cell_angle_gamma 90.00
loop_
_symmetry_equiv_pos_as_xyz
'x,y,z'
'-x,-y,-z'
'-y+1/2,x,z'
'y+1/2,-x,-z'
'-x+1/2,-y+1/2,z'
'x+1/2,y+1/2,-z'
'y,-x+1/2,z'
'-y,x+1/2,-z'
'x+1/2,-y,-z'
'-x+1/2,y,z'
'-y,-x,-z'
'y,x,z'
'-x,y+1/2,-z'
'x,-y+1/2,z'
'y+1/2,x+1/2,-z'
'-y+1/2,-x+1/2,z'
loop_
_atom_site_label
_atom_site_type_symbol
_atom_site_fract_x
_atom_site_fract_y
_atom_site_fract_z
_atom_site_occupancy
Hg1 Hg 0.250 0.750 0.000 1
Ge1 Ge 0.250 0.250 0.306 1
Se1 Se 0.250 0.250 0.697 1
O1 O 0.250 0.250 0.499 1


R:
# HgGeSeO, relaxed, DFT PBE
# Calculated volume = 179 Å³/cell
data_HgGeSeO
_symmetry_space_group_name_H-M 'P 4/n m m'
_symmetry_Int_Tables_number 129
_cell_length_a 4.875
_cell_length_b 4.875
_cell_length_c 7.536
_cell_angle_alpha 90.00
_cell_angle_beta 90.00
_cell_angle_gamma 90.00
loop_
_symmetry_equiv_pos_as_xyz
'x,y,z'
'-x,-y,-z'
'-y+1/2,x,z'
'y+1/2,-x,-z'
'-x+1/2,-y+1/2,z'
'x+1/2,y+1/2,-z'
'y,-x+1/2,z'
'-y,x+1/2,-z'
'x+1/2,-y,-z'
'-x+1/2,y,z'
'-y,-x,-z'
'y,x,z'
'-x,y+1/2,-z'
'x,-y+1/2,z'
'y+1/2,x+1/2,-z'
'-y+1/2,-x+1/2,z'
loop_
_atom_site_label
_atom_site_type_symbol
_atom_site_fract_x
_atom_site_fract_y
_atom_site_fract_z
_atom_site_occupancy
Hg1 Hg 0.250 0.250 0.170 1
Ge1 Ge 0.250 0.250 0.636 1
Se1 Se 0.250 0.750 0.500 1
O1 O 0.250 0.250 0.861 1


S:
# HgGeSeO, relaxed, DFT PBE
# Calculated volume = 181 Å³/cell
data_HgGeSeO
_symmetry_space_group_name_H-M 'P 4/n m m'
_symmetry_Int_Tables_number 129
_cell_length_a 4.821
_cell_length_b 4.821
_cell_length_c 7.787
_cell_angle_alpha 90.00
_cell_angle_beta 90.00
_cell_angle_gamma 90.00
loop_
_symmetry_equiv_pos_as_xyz
'x,y,z'
'-x,-y,-z'
'-y+1/2,x,z'
'y+1/2,-x,-z'
'-x+1/2,-y+1/2,z'
'x+1/2,y+1/2,-z'
'y,-x+1/2,z'
'-y,x+1/2,-z'
'x+1/2,-y,-z'
'-x+1/2,y,z'
'-y,-x,-z'
'y,x,z'
'-x,y+1/2,-z'
'x,-y+1/2,z'
'y+1/2,x+1/2,-z'
'-y+1/2,-x+1/2,z'
loop_
_atom_site_label
_atom_site_type_symbol
_atom_site_fract_x
_atom_site_fract_y
_atom_site_fract_z
_atom_site_occupancy
Hg1 Hg 0.250 0.250 0.200 1
Ge1 Ge 0.250 0.750 0.500 1
Se1 Se 0.250 0.250 0.669 1
O1 O 0.250 0.250 0.891 1


Energetically preferred structure: P | next structure: +170 meV per atom